[1]
The following is a DFT calculation (SCAN) of YCuAs2Pb at its PBEsol-relaxed geometry.

Properties
Calculated density ... 7.43 g cm⁻³
Symmetry ... P4/mmm (123)

Structure (extended XYZ):
```
5
Lattice="4.7514 0.0000 0.0000 0.0000 4.7514 0.0000 0.0000 0.0000 5.0469" Properties=species:S:1:pos:R:3 pbc="T T T"
Y 0.0000 0.0000 0.0000
Cu 2.3757 2.3757 2.5235
As 0.0000 2.3757 2.5235
As 2.3757 0.0000 2.5235
Pb 2.3757 2.3757 0.0000
```


[2]
The following is a DFT calculation (SCAN) of Cu3AsPt at its PBEsol-relaxed geometry.

Properties
Calculated density ... 7.95 g cm⁻³
Symmetry ... Pm-3m (221)

Structure (extended XYZ):
```
5
Lattice="4.5819 0.0000 0.0000 0.0000 4.5819 0.0000 0.0000 0.0000 4.5819" Properties=species:S:1:pos:R:3 pbc="T T T"
Cu 0.0000 0.0000 2.2909
Cu 0.0000 2.2909 0.0000
Cu 2.2909 0.0000 0.0000
As 2.2909 2.2909 2.2909
Pt 0.0000 0.0000 0.0000
```


[3]
The following is a DFT calculation (SCAN) of CuAsPt3 at its PBEsol-relaxed geometry.

Properties
Calculated density ... 12.60 g cm⁻³
Symmetry ... Pm-3m (221)

Structure (extended XYZ):
```
5
Lattice="4.5689 0.0000 0.0000 0.0000 4.5689 0.0000 0.0000 0.0000 4.5689" Properties=species:S:1:pos:R:3 pbc="T T T"
Cu 0.0000 0.0000 0.0000
As 2.2845 2.2845 2.2845
Pt 0.0000 2.2845 2.2845
Pt 2.2845 0.0000 2.2845
Pt 2.2845 2.2845 0.0000
```


[4]
The following is a DFT calculation (SCAN) of RbCuReAs2 at its PBEsol-relaxed geometry.

Properties
Calculated density ... 5.75 g cm⁻³
Symmetry ... P4/mmm (123)

Structure (extended XYZ):
```
5
Lattice="4.7041 0.0000 0.0000 0.0000 4.7041 0.0000 0.0000 0.0000 6.3322" Properties=species:S:1:pos:R:3 pbc="T T T"
Rb 0.0000 0.0000 0.0000
Cu 2.3520 2.3520 0.0000
Re 0.0000 0.0000 3.1661
As 0.0000 2.3520 3.1661
As 2.3520 0.0000 3.1661
```


[5]
The following is a DFT calculation (SCAN) of CuRe3As at its PBEsol-relaxed geometry.

Properties
Calculated density ... 13.32 g cm⁻³
Symmetry ... Pm-3m (221)

Structure (extended XYZ):
```
5
Lattice="4.4299 0.0000 0.0000 0.0000 4.4299 0.0000 0.0000 0.0000 4.4299" Properties=species:S:1:pos:R:3 pbc="T T T"
Cu 0.0000 0.0000 0.0000
Re 0.0000 0.0000 2.2150
Re 0.0000 2.2150 0.0000
Re 2.2150 0.0000 0.0000
As 2.2150 2.2150 2.2150
```


[6]
The following is a DFT calculation (SCAN) of CuReAs2 at its PBEsol-relaxed geometry.

Properties
Polymorph energy (0 for the lowest one) ... 0.029 eV/atom
Calculated density ... 11.41 g cm⁻³
Symmetry ... Immm (71)

Structure (extended XYZ):
```
8
Lattice="3.5264 0.0000 0.0000 0.0000 4.4917 0.0000 0.0000 0.0000 7.3421" Properties=species:S:1:pos:R:3 pbc="T T T"
Cu 0.0000 0.0000 0.0000
Cu 1.7632 2.2459 3.6711
Re 0.0000 0.0000 3.6711
Re 1.7632 2.2459 0.0000
As 0.0000 2.2459 2.0110
As 0.0000 2.2459 5.3311
As 1.7632 0.0000 1.6601
As 1.7632 0.0000 5.6821
```


[7]
The following is a DFT calculation (SCAN) of CuReAs2 at its PBEsol-relaxed geometry.

Properties
Polymorph energy (0 for the lowest one) ... 0.000 eV/atom
Calculated density ... 10.27 g cm⁻³
Symmetry ... Cmm2 (35)

Structure (extended XYZ):
```
8
Lattice="2.9296 0.0000 0.0000 0.0000 4.6847 0.0000 0.0000 0.0000 9.4172" Properties=species:S:1:pos:R:3 pbc="T T T"
Cu 0.0000 0.0000 0.0000
Cu 1.4648 2.3423 0.0000
Re 0.0000 2.3423 7.2784
Re 1.4648 0.0000 7.2784
As 0.0000 0.0000 5.1796
As 0.0000 2.3423 2.0081
As 1.4648 0.0000 2.0081
As 1.4648 2.3423 5.1796
```


[8]
The following is a DFT calculation (SCAN) of CuAs3Rh at its PBEsol-relaxed geometry.

Properties
Calculated density ... 6.19 g cm⁻³
Symmetry ... Pm-3m (221)

Structure (extended XYZ):
```
5
Lattice="4.7164 0.0000 0.0000 0.0000 4.7164 0.0000 0.0000 0.0000 4.7164" Properties=species:S:1:pos:R:3 pbc="T T T"
Cu 0.0000 0.0000 0.0000
As 0.0000 2.3582 2.3582
As 2.3582 0.0000 2.3582
As 2.3582 2.3582 0.0000
Rh 2.3582 2.3582 2.3582
```


[9]
The following is a DFT calculation (SCAN) of Cu3AsRh at its PBEsol-relaxed geometry.

Properties
Calculated density ... 7.63 g cm⁻³
Symmetry ... Pm-3m (221)

Structure (extended XYZ):
```
5
Lattice="4.3124 0.0000 0.0000 0.0000 4.3124 0.0000 0.0000 0.0000 4.3124" Properties=species:S:1:pos:R:3 pbc="T T T"
Cu 0.0000 0.0000 2.1562
Cu 0.0000 2.1562 0.0000
Cu 2.1562 0.0000 0.0000
As 0.0000 0.0000 0.0000
Rh 2.1562 2.1562 2.1562
```


[10]
The following is a DFT calculation (SCAN) of CuAs2Rh at its PBEsol-relaxed geometry.

Properties
Polymorph energy (0 for the lowest one) ... 0.128 eV/atom
Calculated density ... 8.96 g cm⁻³
Symmetry ... Imm2 (44)

Structure (extended XYZ):
```
8
Lattice="3.4061 0.0000 0.0000 0.0000 4.1521 0.0000 0.0000 0.0000 8.2886" Properties=species:S:1:pos:R:3 pbc="T T T"
Cu 0.0000 0.0000 0.0000
Cu 1.7030 2.0760 4.1443
As 0.0000 0.0000 4.1582
As 0.0000 2.0760 6.1199
As 1.7030 0.0000 1.9756
As 1.7030 2.0760 0.0139
Rh 0.0000 2.0760 1.9539
Rh 1.7030 0.0000 6.0982
```


[11]
The following is a DFT calculation (SCAN) of CuAs2Rh2 at its PBEsol-relaxed geometry.

Properties
Calculated density ... 8.49 g cm⁻³
Symmetry ... I4/mmm (139)

Structure (extended XYZ):
```
10
Lattice="3.8335 0.0000 0.0000 0.0000 3.8335 0.0000 0.0000 0.0000 11.1619" Properties=species:S:1:pos:R:3 pbc="T T T"
Cu 0.0000 0.0000 0.0000
Cu 1.9168 1.9168 5.5810
As 0.0000 1.9168 2.7905
As 0.0000 1.9168 8.3714
As 1.9168 0.0000 2.7905
As 1.9168 0.0000 8.3714
Rh 0.0000 0.0000 4.2889
Rh 0.0000 0.0000 6.8731
Rh 1.9168 1.9168 1.2921
Rh 1.9168 1.9168 9.8698
```


[12]
The following is a DFT calculation (SCAN) of CuAs2Rh at its PBEsol-relaxed geometry.

Properties
Polymorph energy (0 for the lowest one) ... 0.000 eV/atom
Calculated density ... 8.81 g cm⁻³
Symmetry ... R-3m (166)

Structure (extended XYZ):
```
12
Lattice="3.0415 0.0000 0.0000 -1.5208 2.6340 0.0000 0.0000 0.0000 22.3156" Properties=species:S:1:pos:R:3 pbc="T T T"
Cu 0.0000 0.0000 0.0000
Cu 0.0000 1.7560 14.8770
Cu 1.5208 0.8780 7.4385
As 0.0000 0.0000 5.5696
As 0.0000 0.0000 16.7459
As 0.0000 1.7560 9.3074
As 0.0000 1.7560 20.4467
As 1.5208 0.8780 1.8689
As 1.5208 0.8780 13.0082
Rh 0.0000 0.0000 11.1578
Rh 0.0000 1.7560 3.7193
Rh 1.5208 0.8780 18.5963
```


| no. | DFT formation energy (eV/atom) | density of states at the Fermi level (states/eV/cell) |
| --- | --- | --- |
| 1 | -0.028 | 2.70 |
| 2 | 0.989 | 5.52 |
| 3 | 0.650 | 3.66 |
| 4 | 0.928 | 2.98 |
| 5 | 2.241 | 6.76 |
| 6 | 0.441 | 4.44 |
| 7 | 0.412 | 5.21 |
| 8 | 0.745 | 3.47 |
| 9 | 0.723 | 5.27 |
| 10 | 0.025 | 3.19 |
| 11 | 0.050 | 3.69 |
| 12 | -0.103 | 3.94 |